No. 1
# PBE-GGA Cd12Hg6Au, relaxed
data_Cd12Hg6Au
_chemical_formula_sum 'Cd12 Hg6 Au1'
_cell_length_a 7.9146
_cell_length_b 7.9146
_cell_length_c 7.9146
_cell_angle_alpha 96.98
_cell_angle_beta 96.98
_cell_angle_gamma 96.98
_symmetry_space_group_name_H-M 'P 1'
_symmetry_Int_Tables_number 1
_symmetry_space_group_name_Hall 'P 1'
loop_
_atom_site_label
_atom_site_type_symbol
_atom_site_fract_x
_atom_site_fract_y
_atom_site_fract_z
Cd1 Cd 0.0067 0.1465 0.6835
Cd2 Cd 0.1465 0.6835 0.0067
Cd3 Cd 0.1869 0.4873 0.6386
Cd4 Cd 0.3165 0.9933 0.8535
Cd5 Cd 0.3614 0.8131 0.5127
Cd6 Cd 0.4873 0.6386 0.1869
Cd7 Cd 0.5127 0.3614 0.8131
Cd8 Cd 0.6386 0.1869 0.4873
Cd9 Cd 0.6835 0.0067 0.1465
Cd10 Cd 0.8131 0.5127 0.3614
Cd11 Cd 0.8535 0.3165 0.9933
Cd12 Cd 0.9933 0.8535 0.3165
Hg1 Hg 0.0338 0.2364 0.3292
Hg2 Hg 0.2364 0.3292 0.0338
Hg3 Hg 0.3292 0.0338 0.2364
Hg4 Hg 0.6708 0.9662 0.7636
Hg5 Hg 0.7636 0.6708 0.9662
Hg6 Hg 0.9662 0.7636 0.6708
Au1 Au 0.5000 0.5000 0.5000
# * energy relative to the elements: 40 meV/atom
# * energy relative to the lowest polymorph listed for this composition: 0.013 eV per atom

No. 2
# PBE-GGA Cd6HgAu2, relaxed
data_Cd6HgAu2
_chemical_formula_sum 'Cd6 Hg1 Au2'
_cell_length_a 6.6891
_cell_length_b 6.6891
_cell_length_c 4.8184
_cell_angle_alpha 99.90
_cell_angle_beta 99.90
_cell_angle_gamma 77.26
_symmetry_space_group_name_H-M 'P 1'
_symmetry_Int_Tables_number 1
_symmetry_space_group_name_Hall 'P 1'
loop_
_atom_site_label
_atom_site_type_symbol
_atom_site_fract_x
_atom_site_fract_y
_atom_site_fract_z
Cd1 Cd 0.0968 0.7255 0.7098
Cd2 Cd 0.2745 0.9032 0.2902
Cd3 Cd 0.3374 0.3374 0.4059
Cd4 Cd 0.6626 0.6626 0.5941
Cd5 Cd 0.7255 0.0968 0.7098
Cd6 Cd 0.9032 0.2745 0.2902
Hg1 Hg 0.5000 0.5000 0.0000
Au1 Au 0.1709 0.1709 0.8335
Au2 Au 0.8291 0.8291 0.1665
# * energy relative to the elements: -3 meV/atom
# * energy relative to the lowest polymorph listed for this composition: 0.031 eV per atom

No. 3
# PBE-GGA Cd2Hg2Au, relaxed
data_Cd2Hg2Au
_chemical_formula_sum 'Cd4 Hg4 Au2'
_cell_length_a 4.0795
_cell_length_b 4.0795
_cell_length_c 14.7516
_cell_angle_alpha 90.00
_cell_angle_beta 90.00
_cell_angle_gamma 90.00
_symmetry_space_group_name_H-M 'P 1'
_symmetry_Int_Tables_number 1
_symmetry_space_group_name_Hall 'P 1'
loop_
_atom_site_label
_atom_site_type_symbol
_atom_site_fract_x
_atom_site_fract_y
_atom_site_fract_z
Cd1 Cd 0.0000 0.0000 0.0932
Cd2 Cd 0.0000 0.0000 0.9068
Cd3 Cd 0.5000 0.5000 0.4068
Cd4 Cd 0.5000 0.5000 0.5932
Hg1 Hg 0.0000 0.5000 0.2500
Hg2 Hg 0.0000 0.5000 0.7500
Hg3 Hg 0.5000 0.0000 0.2500
Hg4 Hg 0.5000 0.0000 0.7500
Au1 Au 0.0000 0.0000 0.5000
Au2 Au 0.5000 0.5000 0.0000
# * energy relative to the elements: 143 meV/atom
# * energy relative to the lowest polymorph listed for this composition: 0.104 eV per atom

No. 4
# PBE-GGA CdHgAu, relaxed
data_CdHgAu
_chemical_formula_sum 'Cd4 Hg4 Au4'
_cell_length_a 4.4173
_cell_length_b 4.4937
_cell_length_c 12.7358
_cell_angle_alpha 90.00
_cell_angle_beta 90.00
_cell_angle_gamma 90.00
_symmetry_space_group_name_H-M 'P 1'
_symmetry_Int_Tables_number 1
_symmetry_space_group_name_Hall 'P 1'
loop_
_atom_site_label
_atom_site_type_symbol
_atom_site_fract_x
_atom_site_fract_y
_atom_site_fract_z
Cd1 Cd 0.0000 0.0000 0.0000
Cd2 Cd 0.0000 0.5000 0.5000
Cd3 Cd 0.5000 0.0000 0.5000
Cd4 Cd 0.5000 0.5000 0.0000
Hg1 Hg 0.0000 0.0000 0.3187
Hg2 Hg 0.0000 0.5000 0.8187
Hg3 Hg 0.5000 0.0000 0.8187
Hg4 Hg 0.5000 0.5000 0.3187
Au1 Au 0.0000 0.0000 0.6504
Au2 Au 0.0000 0.5000 0.1504
Au3 Au 0.5000 0.0000 0.1504
Au4 Au 0.5000 0.5000 0.6504
# * energy relative to the elements: 9 meV/atom
# * energy relative to the lowest polymorph listed for this composition: 0.067 eV per atom

No. 5
# PBE-GGA Cd3HgAu4, relaxed
data_Cd3HgAu4
_chemical_formula_sum 'Cd3 Hg1 Au4'
_cell_length_a 8.5842
_cell_length_b 8.5763
_cell_length_c 4.4283
_cell_angle_alpha 75.14
_cell_angle_beta 74.95
_cell_angle_gamma 29.91
_symmetry_space_group_name_H-M 'P 1'
_symmetry_Int_Tables_number 1
_symmetry_space_group_name_Hall 'P 1'
loop_
_atom_site_label
_atom_site_type_symbol
_atom_site_fract_x
_atom_site_fract_y
_atom_site_fract_z
Cd1 Cd 0.0000 0.0000 0.0000
Cd2 Cd 0.2499 0.2499 0.7501
Cd3 Cd 0.7501 0.7501 0.2499
Hg1 Hg 0.5000 0.5000 0.5000
Au1 Au 0.1275 0.1275 0.3725
Au2 Au 0.3725 0.3725 0.1275
Au3 Au 0.6275 0.6275 0.8725
Au4 Au 0.8725 0.8725 0.6275
# * energy relative to the elements: -104 meV/atom

No. 6
# PBE-GGA Ho4CdHgAu2, relaxed
data_Ho4CdHgAu2
_chemical_formula_sum 'Ho4 Cd1 Hg1 Au2'
_cell_length_a 8.9329
_cell_length_b 8.9329
_cell_length_c 8.9329
_cell_angle_alpha 33.55
_cell_angle_beta 33.55
_cell_angle_gamma 33.55
_symmetry_space_group_name_H-M 'P 1'
_symmetry_Int_Tables_number 1
_symmetry_space_group_name_Hall 'P 1'
loop_
_atom_site_label
_atom_site_type_symbol
_atom_site_fract_x
_atom_site_fract_y
_atom_site_fract_z
Ho1 Ho 0.1235 0.1235 0.1235
Ho2 Ho 0.3737 0.3737 0.3737
Ho3 Ho 0.6263 0.6263 0.6263
Ho4 Ho 0.8765 0.8765 0.8765
Cd1 Cd 0.5000 0.5000 0.5000
Hg1 Hg 0.0000 0.0000 0.0000
Au1 Au 0.2452 0.2452 0.2452
Au2 Au 0.7548 0.7548 0.7548
# * energy relative to the elements: -620 meV/atom

No. 7
# PBE-GGA Ho4CdHg2Au, relaxed
data_Ho4CdHg2Au
_chemical_formula_sum 'Ho4 Cd1 Hg2 Au1'
_cell_length_a 9.0011
_cell_length_b 9.0011
_cell_length_c 9.0011
_cell_angle_alpha 33.58
_cell_angle_beta 33.58
_cell_angle_gamma 33.58
_symmetry_space_group_name_H-M 'P 1'
_symmetry_Int_Tables_number 1
_symmetry_space_group_name_Hall 'P 1'
loop_
_atom_site_label
_atom_site_type_symbol
_atom_site_fract_x
_atom_site_fract_y
_atom_site_fract_z
Ho1 Ho 0.1198 0.1198 0.1198
Ho2 Ho 0.3710 0.3710 0.3710
Ho3 Ho 0.6290 0.6290 0.6290
Ho4 Ho 0.8802 0.8802 0.8802
Cd1 Cd 0.5000 0.5000 0.5000
Hg1 Hg 0.2434 0.2434 0.2434
Hg2 Hg 0.7566 0.7566 0.7566
Au1 Au 0.0000 0.0000 0.0000
# * energy relative to the elements: -546 meV/atom

No. 8
# PBE-GGA Cd2HgAuI, relaxed
data_Cd2HgAuI
_chemical_formula_sum 'Cd2 Hg1 Au1 I1'
_cell_length_a 5.4223
_cell_length_b 5.4223
_cell_length_c 5.4177
_cell_angle_alpha 90.00
_cell_angle_beta 90.00
_cell_angle_gamma 90.00
_symmetry_space_group_name_H-M 'P 1'
_symmetry_Int_Tables_number 1
_symmetry_space_group_name_Hall 'P 1'
loop_
_atom_site_label
_atom_site_type_symbol
_atom_site_fract_x
_atom_site_fract_y
_atom_site_fract_z
Cd1 Cd 0.0000 0.5000 0.0000
Cd2 Cd 0.5000 0.0000 0.0000
Hg1 Hg 0.0000 0.0000 0.5000
Au1 Au 0.0000 0.0000 0.0000
I1 I 0.5000 0.5000 0.5000
# * raw total energy: -1.475 eV per atom